A plane-wave DFT calculation with PBE was carried out for a relaxed structure of CeY2Be. Values from VASP.

Mass density, Mg/m³: 5.30
D(E_F), states/eV/f.u.: 6.51
Energy relative to the elements, eV per atom: 0.10

```
&SYSTEM
  ibrav = 0, nat = 4, ntyp = 3
/
ATOMIC_SPECIES
Y 88.91 Y.upf
Be 9.01 Be.upf
Ce 140.12 Ce.upf
ATOMIC_POSITIONS angstrom
Y 0.796 -2.457 6.555
Y 0.188 -0.582 1.552
Be -2.291 -0.793 -0.019
Ce -1.799 -2.313 4.034
CELL_PARAMETERS angstrom
-3.036 1.336 0.869
-1.546 -2.923 -0.908
0.984 -3.039 8.107
```